No. 1
Y4AsCl: optimized geometry, PBE.

Cell: 8.9007 8.9007 8.9007 Å, 90.00 90.00 90.00°
With the nearest neighbours (Å) after each atom.
Space group F-43m (No. 216)
One atom of each set of equivalent atoms:
Y: 0.1238 0.1238 0.1238  6 Y 3.12-3.18
As: 0.2500 0.2500 0.7500  12 Y 3.69, 4 Cl 3.85
Cl: 0.0000 0.0000 0.5000  12 Y 3.69, 4 As 3.85

Computed properties:
Raw total energy   -5.229 eV per atom
Crystal system   cubic
Total magnetization   0.0 μB/cell



No. 2
YAsCl2: optimized geometry, PBE.

Cell: 3.5220 3.5220 31.4313 Å, 90.00 90.00 120.00°
With the nearest neighbours (Å) after each atom.
Space group R-3m (No. 166, hexagonal axes)
One atom of each set of equivalent atoms:
Y: 0.0000 0.0000 0.0000  6 Cl 2.69
As: 0.0000 0.0000 0.5000  6 As 3.52
Cl: 0.0000 0.0000 0.2771  3 Y 2.69

Computed properties:
Raw total energy   -4.614 eV per atom
Crystal system   trigonal
Energy relative to the lowest polymorph listed for this composition   0.3849 eV/atom
Total magnetization   1.6 μB/cell



No. 3
YAsCl3: optimized geometry, PBE.

Cell: 5.3512 5.3512 5.3512 Å, 90.00 90.00 90.00°
With the nearest neighbours (Å) after each atom.
Space group Pm-3m (No. 221)
One atom of each set of equivalent atoms:
Y: 0.0000 0.0000 0.0000  6 Cl 2.68
As: 0.5000 0.5000 0.5000  12 Cl 3.78
Cl: 0.0000 0.0000 0.5000  2 Y 2.68

Computed properties:
Raw total energy   -4.481 eV per atom
Crystal system   cubic
Energy relative to the lowest polymorph listed for this composition   0.0000 eV/atom
Total magnetization   3.0 μB/cell



No. 4
YAsCl2: optimized geometry, PBE.

Cell: 6.2711 6.3998 4.7837 Å, 90.00 90.00 90.00°
With the nearest neighbours (Å) after each atom.
Space group Cmmm (No. 65)
One atom of each set of equivalent atoms:
Y: 0.0000 0.0000 0.0000  4 Cl 2.81, 2 As 3.14
As: 0.0000 0.5000 0.0000  4 Cl 2.91, 4 Y 3.14-3.20
Cl: 0.2357 0.0000 0.5000  2 Y 2.81, 2 As 2.91, 1 Cl 2.96

Computed properties:
Raw total energy   -4.723 eV per atom
Crystal system   orthorhombic
Energy relative to the lowest polymorph listed for this composition   0.2763 eV/atom
Total magnetization   0.0 μB/cell



No. 5
YAsCl2: optimized geometry, PBE.

Cell: 4.1713 4.1713 9.7945 Å, 90.00 90.00 90.00°
With the nearest neighbours (Å) after each atom.
Space group I-4m2 (No. 119)
One atom of each set of equivalent atoms:
Y: 0.0000 0.0000 0.0000  8 Cl 2.95-3.22, 4 As 3.22
As: 0.0000 0.5000 0.7500  8 Cl 2.95-3.22, 4 Y 3.22
Cl: 0.0000 0.0000 0.5000  4 Y 2.95, 4 As 3.22, 4 Cl 3.22
Cl: 0.0000 0.5000 0.2500  4 As 2.95, 4 Cl 3.22, 4 Y 3.22

Computed properties:
Raw total energy   -4.582 eV per atom
Crystal system   tetragonal
Energy relative to the lowest polymorph listed for this composition   0.4176 eV/atom
Total magnetization   0.0 μB/cell



No. 6
YAsCl2: optimized geometry, PBE.

Cell: 7.1348 7.1348 7.1348 Å, 90.00 90.00 90.00°
With the nearest neighbours (Å) after each atom.
Space group F-43m (No. 216)
One atom of each set of equivalent atoms:
Y: 0.0000 0.0000 0.0000  4 Cl 3.09, 4 As 3.09
As: 0.2500 0.2500 0.7500  4 Cl 3.09, 4 Y 3.09
Cl: 0.0000 0.0000 0.5000  4 As 3.09, 4 Cl 3.09
Cl: 0.2500 0.2500 0.2500  4 Cl 3.09, 4 Y 3.09

Computed properties:
Raw total energy   -4.411 eV per atom
Crystal system   cubic
Energy relative to the lowest polymorph listed for this composition   0.5882 eV/atom
Total magnetization   7.9 μB/cell



No. 7
YAs4Cl: optimized geometry, PBE.

Cell: 7.9715 7.9715 7.9715 Å, 90.00 90.00 90.00°
With the nearest neighbours (Å) after each atom.
Space group F-43m (No. 216)
One atom of each set of equivalent atoms:
Y: 0.0000 0.0000 0.0000  12 As 3.31, 4 Cl 3.45
As: 0.1231 0.1231 0.6231  6 As 2.78-2.86
Cl: 0.2500 0.2500 0.2500  12 As 3.30, 4 Y 3.45

Computed properties:
Raw total energy   -4.833 eV per atom
Crystal system   cubic
Total magnetization   0.0 μB/cell



No. 8
YAsCl2: optimized geometry, PBE.

Cell: 6.2005 6.3574 9.5177 Å, 90.00 90.00 90.00°
With the nearest neighbours (Å) after each atom.
Space group Fmmm (No. 69)
One atom of each set of equivalent atoms:
Y: 0.0000 0.0000 0.0000  4 Cl 2.84, 4 As 3.10-3.18
As: 0.0000 0.0000 0.5000  4 Cl 2.84, 4 Y 3.10-3.18
Cl: 0.2500 0.0000 0.2500  2 Y 2.84, 2 As 2.84, 4 Cl 3.10-3.18

Computed properties:
Raw total energy   -4.768 eV per atom
Crystal system   orthorhombic
Energy relative to the lowest polymorph listed for this composition   0.2312 eV/atom
Total magnetization   0.0 μB/cell



No. 9
YAsCl2: optimized geometry, PBE.

Cell: 4.3912 4.2112 5.3300 Å, 90.00 97.93 90.00°
With the nearest neighbours (Å) after each atom.
Space group Pm (No. 6)
One atom of each set of equivalent atoms:
Y: 0.0000 0.0000 0.0000  4 Cl 2.66-2.87
As: 0.4784 0.5000 0.9032  1 Cl 2.35
Cl: 0.2861 0.5000 0.2927  1 As 2.35
Cl: 0.8289 0.0000 0.5013  2 Y 2.66-2.87

Computed properties:
Raw total energy   -4.987 eV per atom
Crystal system   monoclinic
Energy relative to the lowest polymorph listed for this composition   0.0122 eV/atom
Total magnetization   0.0 μB/cell



No. 10
YAsCl2: optimized geometry, PBE.

Cell: 4.1677 4.1677 7.8752 Å, 90.00 90.00 90.00°
With the nearest neighbours (Å) after each atom.
Space group P4mm (No. 99)
One atom of each set of equivalent atoms:
Y: 0.0000 0.0000 0.0000  1 Cl 2.41
As: 0.5000 0.5000 0.9710  1 Cl 2.28
Cl: 0.0000 0.0000 0.3066  1 Y 2.41
Cl: 0.5000 0.5000 0.6815  1 As 2.28

Computed properties:
Raw total energy   -4.901 eV per atom
Crystal system   tetragonal
Energy relative to the lowest polymorph listed for this composition   0.0986 eV/atom
Total magnetization   0.0 μB/cell



No. 11
YAsCl3: optimized geometry, PBE.

Cell: 5.1684 5.1684 5.1684 Å, 90.00 90.00 90.00°
With the nearest neighbours (Å) after each atom.
Space group Pm-3m (No. 221)
One atom of each set of equivalent atoms:
Y: 0.0000 0.0000 0.0000  12 Cl 3.65
As: 0.5000 0.5000 0.5000  6 Cl 2.58
Cl: 0.0000 0.5000 0.5000  2 As 2.58

Computed properties:
Raw total energy   -3.517 eV per atom
Crystal system   cubic
Energy relative to the lowest polymorph listed for this composition   0.9641 eV/atom
Total magnetization   1.3 μB/cell



No. 12
YAsCl2: optimized geometry, PBE.

Cell: 6.9646 6.9646 6.9646 Å, 90.00 90.00 90.00°
With the nearest neighbours (Å) after each atom.
Space group Fm-3m (No. 225)
One atom of each set of equivalent atoms:
Y: 0.0000 0.0000 0.0000  8 Cl 3.02
As: 0.0000 0.0000 0.5000  8 Cl 3.02
Cl: 0.2500 0.2500 0.2500  4 As 3.02, 4 Y 3.02

Computed properties:
Raw total energy   -4.443 eV per atom
Crystal system   cubic
Energy relative to the lowest polymorph listed for this composition   0.5568 eV/atom
Total magnetization   0.0 μB/cell



How do the records compare in energy relative to the elements, uncorrected? In the order shown, they have 0.16, -0.91, -1.15, -1.02, -0.88, -0.71, -0.35, -1.07, -1.29, -1.20, -0.19, -0.74 eV per atom.